VASP calculation (PBE-GGA) on Sm5Sn2Bi2 after structural relaxation.

Lattice parameters (Å, degrees): 9.003 9.003 8.402 90.00 90.00 55.41
Fractional coordinates of all 18 atoms:
Sm: 0.000 0.000 0.000
Sm: 0.036 0.700 0.666
Sm: 0.200 0.536 0.166
Sm: 0.300 0.964 0.666
Sm: 0.464 0.800 0.166
Sm: 0.500 0.500 0.500
Sm: 0.536 0.200 0.834
Sm: 0.700 0.036 0.334
Sm: 0.800 0.464 0.834
Sm: 0.964 0.300 0.334
Sn: 0.133 0.867 0.367
Sn: 0.367 0.633 0.867
Sn: 0.633 0.367 0.133
Sn: 0.867 0.133 0.633
Bi: 0.205 0.205 0.000
Bi: 0.295 0.295 0.500
Bi: 0.705 0.705 0.500
Bi: 0.795 0.795 0.000

Output
- Calculated formation energy: -0.836 eV/atom
- N(E_F): 13.91 states/eV/cell
- E: -93.77 eV for the cell shown
- Space-group type: Cmce

***

VASP calculation (PBE-GGA) on Sm2SnBi3 after structural relaxation.

Lattice parameters (Å, degrees): 4.456 6.505 14.062 90.00 90.00 90.00
Fractional coordinates of all 12 atoms:
Sm: 0.000 0.000 0.165
Sm: 0.000 0.000 0.835
Sm: 0.500 0.500 0.335
Sm: 0.500 0.500 0.665
Sn: 0.000 0.000 0.500
Sn: 0.500 0.500 0.000
Bi: 0.000 0.500 0.169
Bi: 0.000 0.500 0.500
Bi: 0.000 0.500 0.831
Bi: 0.500 0.000 0.000
Bi: 0.500 0.000 0.331
Bi: 0.500 0.000 0.669

Output
- Calculated formation energy: -0.474 eV/atom
- N(E_F): 9.52 states/eV/cell
- E: -55.85 eV for the cell shown
- Space-group type: Immm

***

VASP calculation (PBE-GGA) on SmSnBi2 after structural relaxation.

Lattice parameters (Å, degrees): 6.968 8.555 7.949 90.00 90.00 90.00
Fractional coordinates of all 16 atoms:
Sm: 0.000 0.250 0.051
Sm: 0.000 0.750 0.949
Sm: 0.500 0.250 0.449
Sm: 0.500 0.750 0.551
Sn: 0.000 0.250 0.472
Sn: 0.000 0.750 0.528
Sn: 0.500 0.250 0.028
Sn: 0.500 0.750 0.972
Bi: 0.250 0.035 0.750
Bi: 0.250 0.465 0.750
Bi: 0.250 0.535 0.250
Bi: 0.250 0.965 0.250
Bi: 0.750 0.035 0.750
Bi: 0.750 0.465 0.750
Bi: 0.750 0.535 0.250
Bi: 0.750 0.965 0.250

Output
- E above lowest polymorph: 0.00 eV per formula unit
- Calculated formation energy: -0.432 eV/atom
- N(E_F): 7.16 states/eV/cell
- E: -72.84 eV for the cell shown
- Space-group type: Imma

***

VASP calculation (PBE-GGA) on Sm3SnBi after structural relaxation.

Lattice parameters (Å, degrees): 6.417 6.436 8.241 74.13 74.90 77.17
Fractional coordinates of all 10 atoms:
Sm: 0.077 0.218 0.044
Sm: 0.213 0.080 0.539
Sm: 0.387 0.623 0.258
Sm: 0.613 0.377 0.742
Sm: 0.787 0.920 0.461
Sm: 0.923 0.782 0.956
Sn: 0.126 0.542 0.653
Sn: 0.874 0.458 0.347
Bi: 0.449 0.855 0.848
Bi: 0.551 0.145 0.152

Output
- Calculated formation energy: -0.655 eV/atom
- N(E_F): 9.33 states/eV/cell
- E: -50.63 eV for the cell shown
- Space-group type: P-1

***

VASP calculation (PBE-GGA) on SmSnBi2 after structural relaxation.

Lattice parameters (Å, degrees): 4.316 4.316 6.508 90.00 90.00 90.00
Fractional coordinates of all 4 atoms:
Sm: 0.000 0.000 0.000
Sn: 0.000 0.000 0.500
Bi: 0.500 0.500 0.243
Bi: 0.500 0.500 0.757

Output
- E above lowest polymorph: 0.11 eV per formula unit
- Calculated formation energy: -0.403 eV/atom
- N(E_F): 2.32 states/eV/cell
- E: -18.10 eV for the cell shown
- Space-group type: P4/mmm

***

VASP calculation (PBE-GGA) on Sm8SnBi2 after structural relaxation.

Lattice parameters (Å, degrees): 9.753 9.753 7.447 90.14 90.14 30.15
Fractional coordinates of all 11 atoms:
Sm: 0.016 0.016 0.248
Sm: 0.219 0.219 0.366
Sm: 0.337 0.337 0.936
Sm: 0.405 0.405 0.463
Sm: 0.595 0.595 0.537
Sm: 0.663 0.663 0.064
Sm: 0.781 0.781 0.634
Sm: 0.984 0.984 0.752
Sn: 0.500 0.500 0.000
Bi: 0.169 0.169 0.795
Bi: 0.831 0.831 0.205

Output
- Calculated formation energy: -0.391 eV/atom
- N(E_F): 12.87 states/eV/cell
- E: -53.82 eV for the cell shown
- Space-group type: C2/m

***

VASP calculation (PBE-GGA) on SmSnBi2 after structural relaxation.

Lattice parameters (Å, degrees): 4.992 4.992 4.763 90.00 90.00 90.00
Fractional coordinates of all 4 atoms:
Sm: 0.000 0.000 0.000
Sn: 0.500 0.500 0.000
Bi: 0.000 0.500 0.500
Bi: 0.500 0.000 0.500

Output
- E above lowest polymorph: 0.10 eV per formula unit
- Calculated formation energy: -0.408 eV/atom
- N(E_F): 2.09 states/eV/cell
- E: -18.11 eV for the cell shown
- Space-group type: P4/mmm

***

VASP calculation (PBE-GGA) on Sm10Sn3Bi3 after structural relaxation.

Lattice parameters (Å, degrees): 9.290 9.290 6.615 90.00 90.00 120.00
Fractional coordinates of all 16 atoms:
Sm: 0.000 0.242 0.000
Sm: 0.000 0.758 0.500
Sm: 0.242 0.000 0.000
Sm: 0.242 0.242 0.500
Sm: 0.333 0.667 0.254
Sm: 0.333 0.667 0.746
Sm: 0.667 0.333 0.254
Sm: 0.667 0.333 0.746
Sm: 0.758 0.000 0.500
Sm: 0.758 0.758 0.000
Sn: 0.000 0.391 0.500
Sn: 0.391 0.000 0.500
Sn: 0.609 0.609 0.500
Bi: 0.000 0.608 0.000
Bi: 0.392 0.392 0.000
Bi: 0.608 0.000 0.000

Output
- Calculated formation energy: -0.739 eV/atom
- N(E_F): 12.94 states/eV/cell
- E: -82.66 eV for the cell shown
- Space-group type: P-62m

***

VASP calculation (PBE-GGA) on Sm8SnBi3Te4 after structural relaxation.

Lattice parameters (Å, degrees): 8.987 8.987 8.987 60.23 60.23 60.23
Fractional coordinates of all 16 atoms:
Sm: 0.249 0.249 0.249
Sm: 0.254 0.745 0.745
Sm: 0.255 0.255 0.746
Sm: 0.255 0.746 0.255
Sm: 0.745 0.254 0.745
Sm: 0.745 0.745 0.254
Sm: 0.746 0.255 0.255
Sm: 0.751 0.751 0.751
Sn: 0.500 0.500 0.500
Bi: 0.000 0.000 0.500
Bi: 0.000 0.500 0.000
Bi: 0.500 0.000 0.000
Te: 0.000 0.000 0.000
Te: 0.000 0.500 0.500
Te: 0.500 0.000 0.500
Te: 0.500 0.500 0.000

Output
- Energy relative to the elements, uncorrected: -1.166 eV/atom
- N(E_F): 6.60 states/eV/cell
- E: -84.62 eV for the cell shown
- Space-group type: R-3m

***

VASP calculation (PBE-GGA) on Sm4SnBiTe2 after structural relaxation.

Lattice parameters (Å, degrees): 7.768 4.499 7.792 90.00 109.47 90.00
Fractional coordinates of all 8 atoms:
Sm: 0.241 0.000 0.242
Sm: 0.243 0.500 0.754
Sm: 0.757 0.500 0.246
Sm: 0.759 0.000 0.758
Sn: 0.000 0.500 0.000
Bi: 0.000 0.000 0.500
Te: 0.500 0.000 0.000
Te: 0.500 0.500 0.500

Output
- Energy relative to the elements, uncorrected: -1.156 eV/atom
- N(E_F): 1.69 states/eV/cell
- E: -42.29 eV for the cell shown
- Space-group type: P2/m

***

VASP calculation (PBE-GGA) on SrSmBi2 after structural relaxation.

Lattice parameters (Å, degrees): 4.217 4.217 7.426 90.00 90.00 90.00
Fractional coordinates of all 4 atoms:
Sr: 0.000 0.000 0.000
Sm: 0.000 0.000 0.500
Bi: 0.500 0.500 0.270
Bi: 0.500 0.500 0.730

Output
- E above lowest polymorph: 0.29 eV per formula unit
- Calculated formation energy: -0.718 eV/atom
- N(E_F): 2.68 states/eV/cell
- E: -17.03 eV for the cell shown
- Space-group type: P4/mmm

***

VASP calculation (PBE-GGA) on SrSmBi2 after structural relaxation.

Lattice parameters (Å, degrees): 4.823 4.823 22.675 90.00 90.00 120.00
Fractional coordinates of all 12 atoms:
Sr: 0.000 0.000 0.000
Sr: 0.333 0.667 0.667
Sr: 0.667 0.333 0.333
Sm: 0.000 0.000 0.827
Sm: 0.333 0.667 0.494
Sm: 0.667 0.333 0.160
Bi: 0.000 0.000 0.421
Bi: 0.000 0.000 0.574
Bi: 0.333 0.667 0.088
Bi: 0.333 0.667 0.240
Bi: 0.667 0.333 0.754
Bi: 0.667 0.333 0.907

Output
- E above lowest polymorph: 0.35 eV per formula unit
- Calculated formation energy: -0.705 eV/atom
- N(E_F): 12.05 states/eV/cell
- E: -50.95 eV for the cell shown
- Space-group type: R3m

***

VASP calculation (PBE-GGA) on Sr5SmBi4 after structural relaxation.

Lattice parameters (Å, degrees): 9.398 9.398 8.246 92.25 92.25 33.48
Fractional coordinates of all 10 atoms:
Sr: 0.000 0.000 0.000
Sr: 0.334 0.334 0.494
Sr: 0.340 0.340 0.008
Sr: 0.660 0.660 0.992
Sr: 0.666 0.666 0.506
Sm: 0.000 0.000 0.500
Bi: 0.180 0.180 0.748
Bi: 0.484 0.484 0.742
Bi: 0.516 0.516 0.258
Bi: 0.820 0.820 0.252

Output
- Calculated formation energy: -0.744 eV/atom
- N(E_F): 4.97 states/eV/cell
- E: -36.10 eV for the cell shown
- Space-group type: C2/m

***

VASP calculation (PBE-GGA) on SrSmBi2 after structural relaxation.

Lattice parameters (Å, degrees): 6.063 6.063 3.546 90.00 90.00 90.00
Fractional coordinates of all 4 atoms:
Sr: 0.000 0.000 0.000
Sm: 0.500 0.500 0.000
Bi: 0.000 0.500 0.500
Bi: 0.500 0.000 0.500

Output
- E above lowest polymorph: 0.30 eV per formula unit
- Calculated formation energy: -0.717 eV/atom
- N(E_F): 2.09 states/eV/cell
- E: -17.03 eV for the cell shown
- Space-group type: P4/mmm

***

VASP calculation (PBE-GGA) on SrSmBi2 after structural relaxation.

Lattice parameters (Å, degrees): 8.094 8.094 8.094 90.00 90.00 90.00
Fractional coordinates of all 16 atoms:
Sr: 0.000 0.000 0.000
Sr: 0.000 0.500 0.500
Sr: 0.500 0.000 0.500
Sr: 0.500 0.500 0.000
Sm: 0.000 0.000 0.500
Sm: 0.000 0.500 0.000
Sm: 0.500 0.000 0.000
Sm: 0.500 0.500 0.500
Bi: 0.250 0.250 0.250
Bi: 0.250 0.250 0.750
Bi: 0.250 0.750 0.250
Bi: 0.250 0.750 0.750
Bi: 0.750 0.250 0.250
Bi: 0.750 0.250 0.750
Bi: 0.750 0.750 0.250
Bi: 0.750 0.750 0.750

Output
- E above lowest polymorph: 0.45 eV per formula unit
- Calculated formation energy: -0.678 eV/atom
- N(E_F): 6.74 states/eV/cell
- E: -67.49 eV for the cell shown
- Space-group type: Fm-3m

***

VASP calculation (PBE-GGA) on SrSmBi2 after structural relaxation.

Lattice parameters (Å, degrees): 4.560 4.560 24.387 90.00 90.00 120.00
Fractional coordinates of all 12 atoms:
Sr: 0.000 0.000 0.000
Sr: 0.333 0.667 0.667
Sr: 0.667 0.333 0.333
Sm: 0.000 0.000 0.500
Sm: 0.333 0.667 0.167
Sm: 0.667 0.333 0.833
Bi: 0.000 0.000 0.244
Bi: 0.000 0.000 0.756
Bi: 0.333 0.667 0.423
Bi: 0.333 0.667 0.910
Bi: 0.667 0.333 0.090
Bi: 0.667 0.333 0.577

Output
- E above lowest polymorph: 0.00 eV per formula unit
- Calculated formation energy: -0.791 eV/atom
- N(E_F): 7.19 states/eV/cell
- E: -51.98 eV for the cell shown
- Space-group type: R-3m

***

VASP calculation (PBE-GGA) on SrSm2Bi2 after structural relaxation.

Lattice parameters (Å, degrees): 5.510 8.497 8.266 90.00 109.40 90.00
Fractional coordinates of all 10 atoms:
Sr: 0.155 0.250 0.310
Sr: 0.845 0.750 0.690
Sm: 0.177 0.750 0.353
Sm: 0.493 0.250 0.985
Sm: 0.507 0.750 0.015
Sm: 0.823 0.250 0.647
Bi: 0.344 0.001 0.688
Bi: 0.344 0.499 0.688
Bi: 0.656 0.501 0.312
Bi: 0.656 0.999 0.312

Output
- Calculated formation energy: -0.534 eV/atom
- N(E_F): 7.59 states/eV/cell
- E: -43.10 eV for the cell shown
- Space-group type: P2_1/m

***

VASP calculation (PBE-GGA) on Tb3SmBi4 after structural relaxation.

Lattice parameters (Å, degrees): 6.373 6.373 6.373 90.00 90.00 90.00
Fractional coordinates of all 8 atoms:
Tb: 0.000 0.000 0.500
Tb: 0.000 0.500 0.000
Tb: 0.500 0.000 0.000
Sm: 0.500 0.500 0.500
Bi: 0.000 0.000 0.000
Bi: 0.000 0.500 0.500
Bi: 0.500 0.000 0.500
Bi: 0.500 0.500 0.000

Output
- E above lowest polymorph: 0.00 eV per formula unit
- Calculated formation energy: -0.895 eV/atom
- N(E_F): 0.44 states/eV/cell
- E: -41.30 eV for the cell shown
- Space-group type: Pm-3m

***

VASP calculation (PBE-GGA) on TbSm2Bi after structural relaxation.

Lattice parameters (Å, degrees): 4.665 23.298 4.646 90.00 90.00 90.00
Fractional coordinates of all 16 atoms:
Tb: 0.000 0.192 0.250
Tb: 0.000 0.808 0.750
Tb: 0.500 0.308 0.750
Tb: 0.500 0.692 0.250
Sm: 0.000 0.064 0.750
Sm: 0.000 0.440 0.750
Sm: 0.000 0.560 0.250
Sm: 0.000 0.936 0.250
Sm: 0.500 0.060 0.250
Sm: 0.500 0.436 0.250
Sm: 0.500 0.564 0.750
Sm: 0.500 0.940 0.750
Bi: 0.000 0.329 0.250
Bi: 0.000 0.671 0.750
Bi: 0.500 0.171 0.750
Bi: 0.500 0.829 0.250

Output
- E above lowest polymorph: 0.00 eV per formula unit
- Calculated formation energy: -0.415 eV/atom
- N(E_F): 17.34 states/eV/cell
- E: -78.44 eV for the cell shown
- Space-group type: Cmcm

***

VASP calculation (PBE-GGA) on TbSm3Bi4 after structural relaxation.

Lattice parameters (Å, degrees): 6.420 6.420 6.420 90.00 90.00 90.00
Fractional coordinates of all 8 atoms:
Tb: 0.000 0.000 0.000
Sm: 0.000 0.500 0.500
Sm: 0.500 0.000 0.500
Sm: 0.500 0.500 0.000
Bi: 0.000 0.000 0.500
Bi: 0.000 0.500 0.000
Bi: 0.500 0.000 0.000
Bi: 0.500 0.500 0.500

Output
- E above lowest polymorph: 0.00 eV per formula unit
- Calculated formation energy: -0.918 eV/atom
- N(E_F): 0.43 states/eV/cell
- E: -41.66 eV for the cell shown
- Space-group type: Pm-3m

***

VASP calculation (PBE-GGA) on TbSm5Bi5 after structural relaxation.

Lattice parameters (Å, degrees): 7.782 7.782 8.990 106.90 106.90 48.38
Fractional coordinates of all 11 atoms:
Tb: 0.000 0.000 0.000
Sm: 0.000 0.000 0.500
Sm: 0.332 0.332 0.665
Sm: 0.337 0.337 0.172
Sm: 0.663 0.663 0.828
Sm: 0.668 0.668 0.335
Bi: 0.166 0.166 0.333
Bi: 0.168 0.168 0.835
Bi: 0.500 0.500 0.000
Bi: 0.832 0.832 0.165
Bi: 0.834 0.834 0.667

Output
- Calculated formation energy: -0.730 eV/atom
- N(E_F): 5.01 states/eV/cell
- E: -55.66 eV for the cell shown
- Space-group type: C2/m

***

VASP calculation (PBE-GGA) on TbSm4Bi3 after structural relaxation.

Lattice parameters (Å, degrees): 4.114 8.803 14.505 90.00 90.00 90.00
Fractional coordinates of all 16 atoms:
Tb: 0.000 0.000 0.000
Tb: 0.500 0.500 0.500
Sm: 0.000 0.295 0.133
Sm: 0.000 0.295 0.867
Sm: 0.000 0.705 0.133
Sm: 0.000 0.705 0.867
Sm: 0.500 0.205 0.367
Sm: 0.500 0.205 0.633
Sm: 0.500 0.795 0.367
Sm: 0.500 0.795 0.633
Bi: 0.000 0.000 0.500
Bi: 0.000 0.500 0.322
Bi: 0.000 0.500 0.678
Bi: 0.500 0.000 0.178
Bi: 0.500 0.000 0.822
Bi: 0.500 0.500 0.000

Output
- Calculated formation energy: -0.466 eV/atom
- N(E_F): 17.99 states/eV/cell
- E: -77.75 eV for the cell shown
- Space-group type: Immm

***

VASP calculation (PBE-GGA) on TbSm3Bi4 after structural relaxation.

Lattice parameters (Å, degrees): 9.082 12.847 4.545 90.00 90.00 90.00
Fractional coordinates of all 16 atoms:
Tb: 0.000 0.000 0.000
Tb: 0.500 0.500 0.000
Sm: 0.000 0.500 0.000
Sm: 0.250 0.250 0.500
Sm: 0.250 0.750 0.500
Sm: 0.500 0.000 0.000
Sm: 0.750 0.250 0.500
Sm: 0.750 0.750 0.500
Bi: 0.000 0.249 0.000
Bi: 0.000 0.751 0.000
Bi: 0.247 0.000 0.500
Bi: 0.253 0.500 0.500
Bi: 0.500 0.251 0.000
Bi: 0.500 0.749 0.000
Bi: 0.747 0.500 0.500
Bi: 0.753 0.000 0.500

Output
- E above lowest polymorph: 0.04 eV per formula unit
- Calculated formation energy: -0.913 eV/atom
- N(E_F): 2.43 states/eV/cell
- E: -83.24 eV for the cell shown
- Space-group type: Cmmm

***

VASP calculation (PBE-GGA) on TbSm3Bi after structural relaxation.

Lattice parameters (Å, degrees): 8.015 8.015 8.015 87.31 114.88 128.77
Fractional coordinates of all 10 atoms:
Tb: 0.248 0.250 0.498
Tb: 0.752 0.750 0.502
Sm: 0.201 0.506 0.752
Sm: 0.201 0.949 0.195
Sm: 0.665 0.991 0.175
Sm: 0.755 0.006 0.805
Sm: 0.755 0.449 0.248
Sm: 0.816 0.491 0.825
Bi: 0.190 0.498 0.192
Bi: 0.306 0.998 0.808

Output
- Calculated formation energy: 0.098 eV/atom
- N(E_F): 13.90 states/eV/cell
- E: -44.35 eV for the cell shown
- Space-group type: Ima2